[1]
This record from Alexandria via LeMat-Bulk describes a relaxed NbH3W crystal. The functional is GGA-PBE.

Computed properties:
Volume, Å³ per cell: 43.8
Total magnetization, μB per cell: 0.0
Uncorrected energy, Ry/atom: -0.46016
DOS(E_F), states/eV/cell: 2.36

a b c (Å): 3.5257 3.5257 3.5257
angles (deg): 90.00 90.00 90.00
Last column: nearest neighbours and their distance in Å.
Space group Pm-3m (No. 221)
Unique sites:
Nb: 0.0000 0.0000 0.0000  12 H 2.49
H: 0.0000 0.5000 0.5000  2 W 1.76
W: 0.5000 0.5000 0.5000  6 H 1.76


[2]
This record from Alexandria via LeMat-Bulk describes a relaxed NbHW3 crystal. The functional is GGA-PBE.

Computed properties:
Volume, Å³ per cell: 110.0
Total magnetization, μB per cell: 0.3
Uncorrected energy, Ry/atom: -0.54565
DOS(E_F), states/eV/cell: 4.64

a b c (Å): 4.7912 4.7912 4.7912
angles (deg): 90.00 90.00 90.00
Last column: nearest neighbours and their distance in Å.
Space group Pm-3m (No. 221)
Unique sites:
Nb: 0.0000 0.0000 0.0000  6 W 2.40
H: 0.5000 0.5000 0.5000  12 W 3.39
W: 0.0000 0.0000 0.5000  2 Nb 2.40


Q: Look up the volume of the second one.
A: 110.0 Å³ per cell


Q: Which value of total magnetization does entry 2 give?
A: 0.3 μB per cell


Q: The highest DOS(E_F) belongs to which entry?
A: NbHW3


What did the first record say?
This record from Alexandria via LeMat-Bulk describes a relaxed NbH3W crystal. The functional is GGA-PBE.

Computed properties:
Volume, Å³ per cell: 43.8
Total magnetization, μB per cell: 0.0
Uncorrected energy, Ry/atom: -0.46016
DOS(E_F), states/eV/cell: 2.36

a b c (Å): 3.5257 3.5257 3.5257
angles (deg): 90.00 90.00 90.00
Last column: nearest neighbours and their distance in Å.
Space group Pm-3m (No. 221)
Unique sites:
Nb: 0.0000 0.0000 0.0000  12 H 2.49
H: 0.0000 0.5000 0.5000  2 W 1.76
W: 0.5000 0.5000 0.5000  6 H 1.76